(1)
An optimized crystal structure of AlTcP, computed with PBE-GGA.

Calculated values
Space group: P4mm
Uncorrected energy (eV per cell): -21.03
Polymorph energy (0 for the lowest one) (eV per formula unit): 0.03

Cell: 2.992 2.992 5.218 Å, 90.00 90.00 90.00°
Element x y z (fractional)
1 Al 0.000 0.000 0.000
2 Tc 0.500 0.500 0.683
3 P 0.000 0.000 0.457

***

(2)
An optimized crystal structure of KCePd4, computed with PBE-GGA.

Calculated values
Space group: F-43m
Uncorrected energy (eV per cell): -30.15

Cell: 5.529 5.529 5.529 Å, 60.00 60.00 60.00°
Element x y z (fractional)
1 K 0.000 0.000 0.000
2 Ce 0.250 0.250 0.250
3 Pd 0.126 0.625 0.625
4 Pd 0.625 0.126 0.625
5 Pd 0.625 0.625 0.126
6 Pd 0.625 0.625 0.625

***

(3)
An optimized crystal structure of PrTlCuNi, computed with PBE-GGA.

Calculated values
Space group: F-43m
Uncorrected energy (eV per cell): -17.40

Cell: 4.818 4.818 4.818 Å, 60.00 60.00 60.00°
Element x y z (fractional)
1 Pr 0.000 0.000 0.000
2 Tl 0.500 0.500 0.500
3 Cu 0.250 0.250 0.250
4 Ni 0.750 0.750 0.750

***

(4)
An optimized crystal structure of LaFeRuW2, computed with PBE-GGA.

Calculated values
Space group: P4/mmm
Uncorrected energy (eV per cell): -42.03

Cell: 4.477 4.477 5.059 Å, 90.00 90.00 90.00°
Element x y z (fractional)
1 La 0.000 0.000 0.000
2 Fe 0.000 0.000 0.500
3 Ru 0.500 0.500 0.000
4 W 0.000 0.500 0.500
5 W 0.500 0.000 0.500